Entry 1:
# PBE VCrI2, optimized geometry
data_VCrI2
_symmetry_space_group_name_H-M 'I -4 2 d'
_symmetry_Int_Tables_number 122
_symmetry_space_group_name_Hall 'I -4 2bw'
_cell_length_a 6.596
_cell_length_b 6.596
_cell_length_c 12.586
_cell_angle_alpha 90.00
_cell_angle_beta 90.00
_cell_angle_gamma 90.00
loop_
_atom_site_label
_atom_site_type_symbol
_atom_site_fract_x
_atom_site_fract_y
_atom_site_fract_z
V1 V 0.000 0.000 0.000
Cr1 Cr 0.000 0.000 0.500
I1 I 0.244 0.250 0.125
# ΔE to the lowest computed polymorph, meV per atom: 0.0
# Energy, eV per atom: -4.98
# Formation energy without anion corrections, eV/atom: 0.485


Entry 2:
# PBE V2Cr2I, optimized geometry
data_V2Cr2I
_symmetry_space_group_name_H-M 'P 4/m b m'
_symmetry_Int_Tables_number 127
_symmetry_space_group_name_Hall '-P 4 2ab'
_cell_length_a 7.117
_cell_length_b 7.117
_cell_length_c 3.160
_cell_angle_alpha 90.00
_cell_angle_beta 90.00
_cell_angle_gamma 90.00
loop_
_atom_site_label
_atom_site_type_symbol
_atom_site_fract_x
_atom_site_fract_y
_atom_site_fract_z
V1 V 0.146 0.354 0.000
Cr1 Cr 0.117 0.617 0.500
I1 I 0.000 0.000 0.500
# ΔE to the lowest computed polymorph, meV per atom: 9.9
# Energy, eV per atom: -7.02
# Formation energy without anion corrections, eV/atom: 0.790


Entry 3:
# PBE VCrI3, optimized geometry
data_VCrI3
_symmetry_space_group_name_H-M 'P m -3 m'
_symmetry_Int_Tables_number 221
_symmetry_space_group_name_Hall '-P 4 2 3'
_cell_length_a 5.564
_cell_length_b 5.564
_cell_length_c 5.564
_cell_angle_alpha 90.00
_cell_angle_beta 90.00
_cell_angle_gamma 90.00
loop_
_atom_site_label
_atom_site_type_symbol
_atom_site_fract_x
_atom_site_fract_y
_atom_site_fract_z
V1 V 0.000 0.000 0.000
Cr1 Cr 0.500 0.500 0.500
I1 I 0.000 0.000 0.500
# Energy, eV per atom: -4.36
# Formation energy without anion corrections, eV/atom: 0.320


Entry 4:
# PBE VCr3I, optimized geometry
data_VCr3I
_symmetry_space_group_name_H-M 'P m -3 m'
_symmetry_Int_Tables_number 221
_symmetry_space_group_name_Hall '-P 4 2 3'
_cell_length_a 4.703
_cell_length_b 4.703
_cell_length_c 4.703
_cell_angle_alpha 90.00
_cell_angle_beta 90.00
_cell_angle_gamma 90.00
loop_
_atom_site_label
_atom_site_type_symbol
_atom_site_fract_x
_atom_site_fract_y
_atom_site_fract_z
V1 V 0.000 0.000 0.000
Cr1 Cr 0.000 0.000 0.500
I1 I 0.500 0.500 0.500
# ΔE to the lowest computed polymorph, meV per atom: 0.0
# Energy, eV per atom: -6.59
# Formation energy without anion corrections, eV/atom: 1.320


Entry 5:
# PBE V3CrI, optimized geometry
data_V3CrI
_symmetry_space_group_name_H-M 'P m -3 m'
_symmetry_Int_Tables_number 221
_symmetry_space_group_name_Hall '-P 4 2 3'
_cell_length_a 4.474
_cell_length_b 4.474
_cell_length_c 4.474
_cell_angle_alpha 90.00
_cell_angle_beta 90.00
_cell_angle_gamma 90.00
loop_
_atom_site_label
_atom_site_type_symbol
_atom_site_fract_x
_atom_site_fract_y
_atom_site_fract_z
V1 V 0.000 0.000 0.500
Cr1 Cr 0.000 0.000 0.000
I1 I 0.500 0.500 0.500
# ΔE to the lowest computed polymorph, meV per atom: 0.0
# Energy, eV per atom: -6.63
# Formation energy without anion corrections, eV/atom: 1.075


Entry 6:
# PBE CrWI2, optimized geometry
data_CrWI2
_symmetry_space_group_name_H-M 'F m -3 m'
_symmetry_Int_Tables_number 225
_symmetry_space_group_name_Hall '-F 4 2 3'
_cell_length_a 6.670
_cell_length_b 6.670
_cell_length_c 6.670
_cell_angle_alpha 90.00
_cell_angle_beta 90.00
_cell_angle_gamma 90.00
loop_
_atom_site_label
_atom_site_type_symbol
_atom_site_fract_x
_atom_site_fract_y
_atom_site_fract_z
Cr1 Cr 0.000 0.000 0.000
W1 W 0.000 0.000 0.500
I1 I 0.250 0.250 0.250
# ΔE to the lowest computed polymorph, meV per atom: 172.4
# Energy, eV per atom: -4.99
# Formation energy without anion corrections, eV/atom: 1.430


Entry 7:
# PBE CrWI2, optimized geometry
data_CrWI2
_symmetry_space_group_name_H-M 'I -4 2 d'
_symmetry_Int_Tables_number 122
_symmetry_space_group_name_Hall 'I -4 2bw'
_cell_length_a 5.001
_cell_length_b 5.001
_cell_length_c 16.723
_cell_angle_alpha 90.00
_cell_angle_beta 90.00
_cell_angle_gamma 90.00
loop_
_atom_site_label
_atom_site_type_symbol
_atom_site_fract_x
_atom_site_fract_y
_atom_site_fract_z
Cr1 Cr 0.000 0.000 0.000
W1 W 0.000 0.000 0.500
I1 I 0.249 0.250 0.125
# ΔE to the lowest computed polymorph, meV per atom: 0.0
# Energy, eV per atom: -5.16
# Formation energy without anion corrections, eV/atom: 1.257


Entry 8:
# PBE CrW2I2, optimized geometry
data_CrW2I2
_symmetry_space_group_name_H-M 'I 4/m m m'
_symmetry_Int_Tables_number 139
_symmetry_space_group_name_Hall '-I 4 2'
_cell_length_a 4.552
_cell_length_b 4.552
_cell_length_c 11.440
_cell_angle_alpha 90.00
_cell_angle_beta 90.00
_cell_angle_gamma 90.00
loop_
_atom_site_label
_atom_site_type_symbol
_atom_site_fract_x
_atom_site_fract_y
_atom_site_fract_z
Cr1 Cr 0.000 0.000 0.000
W1 W 0.000 0.000 0.398
I1 I 0.000 0.500 0.250
# ΔE to the lowest computed polymorph, meV per atom: 544.3
# Energy, eV per atom: -5.75
# Formation energy without anion corrections, eV/atom: 1.977